(1)
Computed, not measured: crystalline Ca2PmO at its relaxed geometry at the PBE level of DFT.

Cell: 3.4797 3.4797 9.9423 Å, 79.92 79.92 60.00°
With the nearest neighbours (Å) after each atom.
Sites, in units of the cell vectors:
1 Pm 0.0000 0.0000 0.0000  2 Ca 3.46, 6 Pm 3.48
2 Ca 0.1185 0.1185 0.6444  3 O 2.45
3 Ca 0.8815 0.8815 0.3556  3 O 2.45
4 O 0.5000 0.5000 0.5000  6 Ca 2.45

## Properties
- SG = R-3m
- ΔE_f (raw) (meV per atom) = -1251
- calculated volume (Å³ per cell) = 102.1
- calculated density (g cm⁻³) = 3.9

---

(2)
Computed, not measured: crystalline CaPm2O at its relaxed geometry at the PBE level of DFT.

Cell: 3.7117 3.7117 9.4126 Å, 78.63 78.63 60.00°
With the nearest neighbours (Å) after each atom.
Sites, in units of the cell vectors:
1 Pm 0.7149 0.7149 0.8553  3 O 2.52
2 Pm 0.2851 0.2851 0.1447  3 O 2.52
3 O 0.0000 0.0000 0.0000  6 Pm 2.52
4 Ca 0.5000 0.5000 0.5000  6 Ca 3.71, 6 Pm 3.90

## Properties
- SG = R-3m
- ΔE_f (raw) (meV per atom) = -1252
- calculated volume (Å³ per cell) = 109.4
- calculated density (g cm⁻³) = 5.3

---

(3)
Computed, not measured: crystalline CaPm2PtO6 at its relaxed geometry at the PBE level of DFT.

Cell: 5.6135 5.9567 8.1336 Å, 90.00 90.58 90.00°
With the nearest neighbours (Å) after each atom.
Sites, in units of the cell vectors:
1 O 0.7958 0.8157 0.5600  1 Pt 2.05, 1 Ca 2.26
2 O 0.2958 0.6843 0.0600  1 Pt 2.05, 1 Ca 2.26
3 O 0.3704 0.9421 0.7321  1 Pt 2.06
4 O 0.6750 0.2889 0.5714  1 Pt 2.06, 1 Ca 2.30
5 O 0.8250 0.7889 0.9286  1 Pt 2.06, 1 Ca 2.30
6 O 0.2042 0.1843 0.4400  1 Pt 2.05, 1 Ca 2.26
7 O 0.8704 0.5579 0.2321  1 Pt 2.06
8 O 0.3250 0.7111 0.4286  1 Pt 2.06, 1 Ca 2.30
9 O 0.7042 0.3157 0.9400  1 Pt 2.05, 1 Ca 2.26
10 O 0.6296 0.0579 0.2679  1 Pt 2.06
11 O 0.1750 0.2111 0.0714  1 Pt 2.06, 1 Ca 2.30
12 O 0.1296 0.4421 0.7679  1 Pt 2.06
13 Ca 0.5000 0.0000 0.0000  6 O 2.26-2.32
14 Ca 0.0000 0.5000 0.5000  6 O 2.26-2.32
15 Pm 0.0231 0.9346 0.2520  5 O 2.33-2.58
16 Pm 0.9769 0.0654 0.7480  5 O 2.33-2.58
17 Pm 0.5231 0.5654 0.7520  5 O 2.33-2.58
18 Pm 0.4769 0.4346 0.2480  5 O 2.33-2.58
19 Pt 0.0000 0.5000 0.0000  6 O 2.05-2.06
20 Pt 0.5000 0.0000 0.5000  6 O 2.05-2.06

## Properties
- SG = P2_1/c
- ΔE_f (raw) (meV per atom) = -2485
- calculated volume (Å³ per cell) = 272.0
- calculated density (g cm⁻³) = 7.6

---

(4)
Computed, not measured: crystalline CaPmPuO6 at its relaxed geometry at the PBE level of DFT.

Cell: 5.7437 5.7437 9.6703 Å, 90.00 90.00 120.00°
With the nearest neighbours (Å) after each atom.
Sites, in units of the cell vectors:
1 O 0.0427 0.6725 0.8649  1 Pu 2.02
2 O 0.9573 0.3275 0.1351  1 Pu 2.02
3 O 0.0427 0.3702 0.6351  1 Pu 2.02
4 O 0.3702 0.3275 0.3649  1 Pu 2.02
5 O 0.9573 0.6298 0.3649  1 Pu 2.02
6 O 0.3702 0.0427 0.1351  1 Pu 2.02
7 O 0.6725 0.6298 0.1351  1 Pu 2.02
8 O 0.6298 0.6725 0.6351  1 Pu 2.02
9 O 0.6725 0.0427 0.3649  1 Pu 2.02
10 O 0.3275 0.9573 0.6351  1 Pu 2.02
11 O 0.3275 0.3702 0.8649  1 Pu 2.02
12 O 0.6298 0.9573 0.8649  1 Pu 2.02
13 Pu 0.3333 0.6667 0.7500  6 O 2.02
14 Pu 0.6667 0.3333 0.2500  6 O 2.02
15 Ca 0.6667 0.3333 0.7500  6 O 2.34
16 Ca 0.3333 0.6667 0.2500  6 O 2.34
17 Pm 0.0000 0.0000 0.5000  6 O 2.40
18 Pm 0.0000 0.0000 0.0000  6 O 2.40

## Properties
- SG = P-31c
- ΔE_f (raw) (meV per atom) = -2822
- calculated volume (Å³ per cell) = 276.3
- calculated density (g cm⁻³) = 6.3

---

(5)
Computed, not measured: crystalline CaPm2PuO8 at its relaxed geometry at the PBE level of DFT.

Cell: 4.1160 5.4068 7.5904 Å, 90.00 90.00 96.48°
With the nearest neighbours (Å) after each atom.
Sites, in units of the cell vectors:
1 O 0.0465 0.7650 0.7924  1 Pu 2.05
2 O 0.0465 0.7649 0.2077  1 Pu 2.05
3 O 0.9535 0.2350 0.2076  1 Pu 2.05
4 O 0.4313 0.2179 0.0000  1 Pu 2.02
5 O 0.4913 0.2545 0.5000  2 Pm 2.30, 1 Ca 2.31
6 O 0.9535 0.2351 0.7923  1 Pu 2.05
7 O 0.5087 0.7455 0.5000  2 Pm 2.30, 1 Ca 2.31
8 O 0.5687 0.7821 0.0000  1 Pu 2.02
9 Pm 0.5000 0.5000 0.2527  8 O 2.30-2.55
10 Pm 0.5000 0.5000 0.7473  8 O 2.30-2.55
11 Ca 0.0000 0.0000 0.5000  6 O 2.31-2.58
12 Pu 0.0000 0.0000 0.0000  6 O 2.02-2.05

## Properties
- SG = P2/m
- ΔE_f (raw) (meV per atom) = -2744
- calculated volume (Å³ per cell) = 167.8
- calculated density (g cm⁻³) = 6.9

---

(6)
Computed, not measured: crystalline Ca2PmPuO6 at its relaxed geometry at the PBE level of DFT.

Cell: 5.8942 5.8942 6.1245 Å, 61.24 61.24 60.00°
With the nearest neighbours (Å) after each atom.
Sites, in units of the cell vectors:
1 Ca 0.0269 0.0269 0.9192  6 O 2.33-2.48
2 Ca 0.5336 0.5336 0.3992  6 O 2.35-2.52
3 O 0.1990 0.9567 0.2535  1 Pu 2.16, 1 Ca 2.35
4 O 0.5908 0.1990 0.2535  1 Pu 2.16, 1 Ca 2.35
5 O 0.9567 0.5908 0.2535  1 Pu 2.16, 1 Ca 2.35
6 O 0.6807 0.1202 0.7730  1 Pu 2.16, 1 Pm 2.31, 1 Ca 2.33
7 O 0.1202 0.4261 0.7730  1 Pu 2.16, 1 Pm 2.31, 1 Ca 2.33
8 O 0.4261 0.6807 0.7730  1 Pu 2.16, 1 Pm 2.31, 1 Ca 2.33
9 Pu 0.3181 0.3180 0.0458  6 O 2.16
10 Pm 0.8095 0.8095 0.5715  6 O 2.31-2.42

## Properties
- SG = R3
- ΔE_f (raw) (meV per atom) = -3046
- calculated volume (Å³ per cell) = 153.2
- calculated density (g cm⁻³) = 6.1

---

(7)
Computed, not measured: crystalline CaPmPu2O8 at its relaxed geometry at the PBE level of DFT.

Cell: 6.4106 6.4106 6.4106 Å, 108.97 108.97 110.47°
With the nearest neighbours (Å) after each atom.
Sites, in units of the cell vectors:
1 Pu 0.7500 0.2500 0.5000  4 O 1.99
2 Pu 0.5000 0.5000 0.0000  4 O 1.98
3 O 0.8802 0.6954 0.1848  1 Pu 1.98
4 O 0.3046 0.1198 0.8152  1 Pu 1.98
5 O 0.7275 0.0486 0.6789  1 Pu 1.99
6 O 0.5106 0.6954 0.8152  1 Pu 1.98
7 O 0.9514 0.6303 0.6789  1 Pu 1.99
8 O 0.9514 0.2725 0.3211  1 Pu 1.99
9 O 0.3046 0.4894 0.1848  1 Pu 1.98
10 O 0.3697 0.0486 0.3211  1 Pu 1.99
11 Ca 0.0000 0.0000 0.0000  8 O 2.42-2.62
12 Pm 0.2500 0.7500 0.5000  8 O 2.38-2.56

## Properties
- SG = I-4m2
- ΔE_f (raw) (meV per atom) = -2562
- calculated volume (Å³ per cell) = 202.8
- calculated density (g cm⁻³) = 6.6

---

(8)
Computed, not measured: crystalline CaPmReO6 at its relaxed geometry at the PBE level of DFT.

Cell: 5.5280 5.5280 4.9016 Å, 90.00 90.00 60.00°
With the nearest neighbours (Å) after each atom.
Sites, in units of the cell vectors:
1 O 0.6218 0.0554 0.2787  1 Re 1.91
2 O 0.0553 0.3229 0.2787  1 Re 1.91
3 O 0.3228 0.6218 0.2787  1 Re 1.91
4 O 0.6218 0.3229 0.7213  1 Re 1.91
5 O 0.0553 0.6218 0.7213  1 Re 1.91
6 O 0.3228 0.0554 0.7213  1 Re 1.91
7 Pm 0.0000 0.0000 0.0000  6 O 2.39
8 Re 0.3333 0.3333 0.5000  6 O 1.91
9 Ca 0.6666 0.6667 0.5000  6 O 2.31

## Properties
- SG = P312
- ΔE_f (raw) (meV per atom) = -2444
- calculated volume (Å³ per cell) = 129.7
- calculated density (g cm⁻³) = 6.0

---

| no. | final energy (eV per formula unit) |
| --- | --- |
| 1 | -18.71 |
| 2 | -21.47 |
| 3 | -72.14 |
| 4 | -76.23 |
| 5 | -98.42 |
| 6 | -83.30 |
| 7 | -105.83 |
| 8 | -70.95 |